DFT (GGA-PBEsol) results for Li6Ge2O7 after structural relaxation.

Summary:
Uncorrected energy: -353.9 eV for the cell shown
Mass density: 3.3 Mg/m³
Formation energy from raw total energies: -2.00 eV/atom

```
60
Lattice="-3.3201 2.7897 -3.0175 -4.6958 1.3381 6.4037 7.7535 11.6521 2.2416" Properties=species:S:1:pos:R:3 pbc="T T T"
Li -3.1859 4.1562 4.6643
Li -3.5675 6.6906 2.8024
Li 2.9235 11.6237 0.9634
Li 3.3051 9.0894 2.8253
Li -1.6969 2.3247 2.8291
Li 0.7135 6.2813 -0.7898
Li 1.4345 13.4552 2.7986
Li -0.9759 9.4986 6.4175
Li 2.3539 10.1263 5.2268
Li -0.5366 11.6859 5.2242
Li -4.0002 2.9328 -0.7738
Li 1.5275 6.9246 1.4595
Li 3.7378 12.8471 6.4015
Li -1.7899 8.8553 4.1682
Li -0.9208 1.4225 -0.5006
Li -1.2412 8.1738 1.4687
Li 0.6584 14.3574 6.1283
Li 0.9788 7.6061 4.1590
Li -2.0685 3.1708 0.7207
Li -1.2836 7.4255 -0.8342
Li 1.8061 12.6091 4.9070
Li 1.0212 8.3544 6.4619
Li -2.6163 5.6536 0.4009
Li 0.2742 4.0940 0.4035
Ge -4.5188 3.6822 2.3783
Ge -1.2938 6.3740 5.9434
Ge 4.2564 12.0977 3.2494
Ge 1.0314 9.4059 -0.3157
Ge -1.4949 4.3040 -2.0315
Ge -0.8119 5.4140 2.8680
Ge 1.2325 11.4759 7.6592
Ge 0.5495 10.3659 2.7597
O -0.6543 3.8170 2.1376
O -2.1068 10.5449 5.3045
O 1.8444 5.2350 0.3232
O -3.7612 4.1553 0.8678
O 3.2765 7.5597 1.7100
O 3.1441 12.9921 2.2532
O -0.9925 5.3464 -0.7012
O -3.4064 2.7879 3.3745
O 1.2619 10.6001 1.0814
O 4.4184 10.5737 2.2089
O -1.5243 5.1798 4.5463
O -4.6807 5.2062 3.4188
O 0.3919 11.9629 3.4901
O 0.7301 10.4335 6.3289
O -1.9296 1.2041 1.1945
O 0.3327 7.9175 0.2871
O 1.6673 14.5759 4.4332
O -0.5951 7.8624 5.3405
O -2.1181 2.8381 -1.2887
O 0.8252 6.0280 3.0467
O 1.8558 12.9418 6.9164
O -3.5389 8.2202 3.9177
O -3.9652 3.6342 6.2840
O -1.8945 6.4616 1.9949
O 3.7028 12.1457 -0.6563
O 1.6321 9.3183 3.6328
O 3.4988 11.6247 4.7599
O -1.0876 9.7519 2.5810
```



DFT (GGA-PBEsol) results for Li3GeO after structural relaxation.

Summary:
Uncorrected energy: -20.5 eV for the cell shown
Mass density: 3.1 Mg/m³
Formation energy from raw total energies: -0.89 eV/atom

```
5
Lattice="3.9007 0.0000 0.0000 0.0000 3.9007 0.0000 0.0000 0.0000 3.9007" Properties=species:S:1:pos:R:3 pbc="T T T"
Ge 1.9503 1.9503 1.9503
O 0.0000 0.0000 0.0000
Li 0.0000 1.9503 0.0000
Li 0.0000 0.0000 1.9503
Li 1.9503 0.0000 0.0000
```



DFT (GGA-PBEsol) results for Li2Ge4O9 after structural relaxation.

Summary:
Uncorrected energy: -392.0 eV for the cell shown
Mass density: 4.3 Mg/m³
Formation energy from raw total energies: -1.80 eV/atom

```
60
Lattice="-3.1547 2.8581 -1.8689 -6.4473 -3.2727 5.8782 3.9064 11.1853 10.5119" Properties=species:S:1:pos:R:3 pbc="T T T"
Li -3.9229 2.1315 4.7740
Li 1.0108 10.0523 7.2093
Li -0.5741 4.1260 2.1715
Li -2.3379 8.0577 9.8118
Li -6.4646 -0.4305 3.3834
Li 1.0879 11.3631 10.8471
Li -1.4590 6.3083 5.2395
Li -3.9178 4.6243 8.9910
Ge -5.1001 2.7367 7.2194
Ge -0.7796 7.9407 7.4696
Ge -2.6195 2.2454 2.2808
Ge -3.2602 8.4319 12.4082
Ge -7.2505 2.6065 4.8156
Ge 1.3470 8.0588 9.8951
Ge -3.6760 5.2474 2.8206
Ge -2.2274 5.4179 11.8902
Ge -2.6708 -0.4397 3.8298
Ge -5.9151 9.7434 13.3266
Ge -4.7169 1.2957 9.9375
Ge -3.8689 8.0080 7.2188
Ge -0.1188 8.3935 12.7367
Ge -3.0586 3.6555 -0.5114
Ge 1.8855 6.5385 6.5164
Ge -5.0629 5.5106 5.7089
O -6.9051 2.7568 7.6998
O -1.1123 6.8355 8.9382
O -4.3692 2.4239 2.9100
O -3.6482 7.1684 13.7280
O -4.5770 2.7957 9.0467
O -2.3683 7.3408 6.6138
O -2.7788 0.3505 2.2718
O -4.1665 9.7860 13.3888
O -4.8822 4.5997 7.2048
O 0.1293 6.6497 6.4569
O -3.0723 2.1880 0.4614
O -1.6806 9.0613 13.2003
O -3.3444 2.4632 6.6105
O -0.4557 9.2698 6.1825
O -0.7828 2.2039 1.8899
O -3.0173 9.5291 10.9031
O -5.6076 2.6869 5.4041
O 0.8024 8.5359 8.3053
O -2.4537 4.1237 2.2775
O -2.3515 7.0991 11.4319
O -5.2584 0.8477 7.3711
O -1.8233 9.2195 8.4139
O -2.1503 2.1535 4.1213
O -4.9315 7.9137 11.6636
O -4.0238 0.0559 4.9091
O -0.1115 11.5070 8.1895
O 0.0160 4.0292 4.1663
O -4.1514 7.5336 8.9324
O -7.8453 0.9136 4.9364
O 0.4442 8.9915 11.1398
O -3.6484 5.3370 4.6165
O -3.7528 4.5681 11.4597
O -6.1228 0.6838 1.6619
O 3.1176 11.4527 10.4064
O -0.9834 7.8058 3.8781
O -2.0219 4.3306 8.1901
```



DFT (GGA-PBEsol) results for Li3GeO4 after structural relaxation.

Summary:
Uncorrected energy: -183.0 eV for the cell shown
Mass density: 3.1 Mg/m³
Formation energy from raw total energies: -1.74 eV/atom

```
32
Lattice="-3.0006 2.0781 -3.1711 -0.1821 -5.4067 -3.3709 -8.6687 -3.4234 5.9592" Properties=species:S:1:pos:R:3 pbc="T T T"
Li -7.8294 -2.4331 4.3084
Li -4.0220 -4.3188 -4.8911
Li -8.0817 -6.2208 -1.6213
Li -3.9315 -1.6309 -3.2153
Li -3.7697 -0.5312 1.0385
Li -7.9200 -5.1210 2.6325
Li -3.8603 -3.2191 -0.6374
Li -7.9912 -3.5328 0.0546
Li -10.3734 -2.8430 2.1071
Li -1.4781 -3.9090 -2.6899
Li -6.0699 -5.4424 0.0176
Li -5.7816 -1.3096 -0.6004
Ge -5.6822 -2.9603 2.0419
Ge -6.1693 -3.7917 -2.6247
Ge -10.1388 -5.7561 0.7406
Ge -1.7127 -0.9959 -1.3233
O -6.6968 -4.2605 1.4187
O -5.1547 -2.4914 -2.0014
O -9.7194 -4.0436 0.7347
O -5.2382 -4.9708 -3.5473
O -2.1321 -2.7084 -1.3175
O -6.6133 -1.7811 2.9645
O -2.0486 -0.2290 0.2283
O -9.8029 -6.5230 -0.8111
O -7.5850 -1.6423 0.0307
O -4.2665 -5.1097 -0.6135
O -9.0413 -6.5164 1.9007
O -2.8102 -0.2356 -2.4835
O -8.7570 -4.0996 4.0354
O -3.0944 -2.6524 -4.6182
O -7.2018 -4.5213 -1.3987
O -4.6497 -2.2307 0.8159
```



What are the size of the total moment values for these records? In order: 0.0 0.0 0.0 1.0 μB per formula unit.